Here is a relaxed structure of BaNi2Br from the Alexandria database. Energies are from PBE.

a = 6.4807 Å, b = 6.4807 Å, c = 6.4807 Å
α = 141.47°, β = 141.47°, γ = 55.62°
Each line ends with the local moment (μB).
Fractional positions:
Ba: 0.2500 0.7500 0.5000  -0.03
Br: 0.7500 0.2500 0.5000  0.01
Ni: 0.0000 0.0000 0.0000  0.65
Ni: 0.5000 0.5000 0.0000  0.65

Computed properties:
Total DFT energy (no corrections)   -3.500 eV per atom
Crystal system   tetragonal
Formation energy without anion corrections   0.29 eV per atom
Spin magnetization   1.19 μB/f.u.
DOS at the Fermi energy   2.72 states/eV/atom

***

Here is a relaxed structure of BaSiRu2 from the Alexandria database. Energies are from PBE.

a = 5.0286 Å, b = 5.0286 Å, c = 5.0286 Å
α = 127.20°, β = 127.20°, γ = 77.93°
Each line ends with the local moment (μB).
Fractional positions:
Ba: 0.7500 0.2500 0.5000  0.01
Ru: 0.0000 0.0000 0.0000  1.06
Ru: 0.2500 0.7500 0.5000  0.63
Si: 0.5000 0.5000 0.0000  -0.02

Computed properties:
Total DFT energy (no corrections)   -5.551 eV per atom
Crystal system   tetragonal
Formation energy without anion corrections   0.92 eV per atom
Spin magnetization   1.72 μB/f.u.
DOS at the Fermi energy   1.23 states/eV/atom